[1]
# CaPuRh, optimized geometry, DFT PBE
# E above lowest polymorph = 0 meV per atom
# VASP energy = -8.320 eV per atom
# Fermi-level density of states = 2.37 states/eV per atom
# formation energy = -0.425 eV per atom
data_CaPuRh
_symmetry_space_group_name_H-M 'P 1 21/m 1'
_symmetry_Int_Tables_number 11
_cell_length_a 5.972
_cell_length_b 4.557
_cell_length_c 6.098
_cell_angle_alpha 90.00
_cell_angle_beta 106.49
_cell_angle_gamma 90.00
loop_
_symmetry_equiv_pos_as_xyz
'x,y,z'
'-x,-y,-z'
'-x,y+1/2,-z'
'x,-y+1/2,z'
loop_
_atom_site_label
_atom_site_fract_x
_atom_site_fract_y
_atom_site_fract_z
Ca1 0.073 0.250 0.284
Pu1 0.474 0.250 0.827
Rh1 0.378 0.750 0.582

[2]
# CaPuRh, optimized geometry, DFT PBE
# E above lowest polymorph = 262 meV per atom
# VASP energy = -8.058 eV per atom
# Fermi-level density of states = 2.69 states/eV per atom
# formation energy = -0.163 eV per atom
data_CaPuRh
_symmetry_space_group_name_H-M 'P 3 m 1'
_symmetry_Int_Tables_number 156
_cell_length_a 3.9273
_cell_length_b 3.9273
_cell_length_c 6.3977
_cell_angle_alpha 90.00
_cell_angle_beta 90.00
_cell_angle_gamma 120.00
loop_
_symmetry_equiv_pos_as_xyz
'x,y,z'
'-y,x-y,z'
'-x+y,-x,z'
'-y,-x,z'
'-x+y,y,z'
'x,x-y,z'
loop_
_atom_site_label
_atom_site_fract_x
_atom_site_fract_y
_atom_site_fract_z
Ca1 0.0000 0.0000 0.0000
Pu1 0.6667 0.3333 0.4900
Rh1 0.3333 0.6667 0.7075

[3]
# CaPu3Rh2, optimized geometry, DFT PBE
# E above lowest polymorph = 92 meV per atom
# VASP energy = -10.135 eV per atom
# Fermi-level density of states = 2.05 states/eV per atom
# formation energy = -0.185 eV per atom
data_CaPu3Rh2
_symmetry_space_group_name_H-M 'C 1 2/m 1'
_symmetry_Int_Tables_number 12
_cell_length_a 16.521
_cell_length_b 4.304
_cell_length_c 7.556
_cell_angle_alpha 90.00
_cell_angle_beta 111.65
_cell_angle_gamma 90.00
loop_
_symmetry_equiv_pos_as_xyz
'x,y,z'
'-x,-y,-z'
'-x,y,-z'
'x,-y,z'
'x+1/2,y+1/2,z'
'-x+1/2,-y+1/2,-z'
'-x+1/2,y+1/2,-z'
'x+1/2,-y+1/2,z'
loop_
_atom_site_label
_atom_site_fract_x
_atom_site_fract_y
_atom_site_fract_z
Ca1 0.116 0.000 0.184
Pu1 0.061 0.000 0.658
Pu2 0.121 0.500 0.552
Pu3 0.197 0.500 0.928
Rh1 0.022 0.500 0.852
Rh2 0.241 0.000 0.635

[4]
# CaPu3Rh2, optimized geometry, DFT PBE
# E above lowest polymorph = 0 meV per atom
# VASP energy = -10.227 eV per atom
# Fermi-level density of states = 3.53 states/eV per atom
# formation energy = -0.277 eV per atom
data_CaPu3Rh2
_symmetry_space_group_name_H-M 'P m c 21'
_symmetry_Int_Tables_number 26
_cell_length_a 4.399
_cell_length_b 8.787
_cell_length_c 7.435
_cell_angle_alpha 90.00
_cell_angle_beta 90.00
_cell_angle_gamma 90.00
loop_
_symmetry_equiv_pos_as_xyz
'x,y,z'
'-x,-y,z+1/2'
'-x,y,z'
'x,-y,z+1/2'
loop_
_atom_site_label
_atom_site_fract_x
_atom_site_fract_y
_atom_site_fract_z
Ca1 0.000 0.075 0.000
Pu1 0.000 0.330 0.639
Pu2 0.500 0.184 0.331
Pu3 0.500 0.423 0.963
Rh1 0.000 0.366 0.245
Rh2 0.500 0.138 0.706

[5]
# Ca2Pu3Rh4, optimized geometry, DFT PBE
# VASP energy = -8.899 eV per atom
# Fermi-level density of states = 2.84 states/eV per atom
# formation energy = -0.409 eV per atom
data_Ca2Pu3Rh4
_symmetry_space_group_name_H-M 'P 1 21/c 1'
_symmetry_Int_Tables_number 14
_cell_length_a 7.773
_cell_length_b 7.400
_cell_length_c 7.346
_cell_angle_alpha 90.00
_cell_angle_beta 110.21
_cell_angle_gamma 90.00
loop_
_symmetry_equiv_pos_as_xyz
'x,y,z'
'-x,-y,-z'
'-x,y+1/2,-z+1/2'
'x,-y+1/2,z+1/2'
loop_
_atom_site_label
_atom_site_fract_x
_atom_site_fract_y
_atom_site_fract_z
Ca1 0.190 0.175 0.066
Pu1 0.235 0.660 0.239
Pu2 0.500 0.000 0.500
Rh1 0.088 0.550 0.860
Rh2 0.492 0.631 0.632

[6]
# CaPuRh4, optimized geometry, DFT PBE
# VASP energy = -8.068 eV per atom
# Fermi-level density of states = 2.10 states/eV per atom
# formation energy = -0.445 eV per atom
data_CaPuRh4
_symmetry_space_group_name_H-M 'F -4 3 m'
_symmetry_Int_Tables_number 216
_symmetry_space_group_name_Hall 'F -4 2 3'
_cell_length_a 7.557
_cell_length_b 7.557
_cell_length_c 7.557
_cell_angle_alpha 90.00
_cell_angle_beta 90.00
_cell_angle_gamma 90.00
loop_
_atom_site_label
_atom_site_fract_x
_atom_site_fract_y
_atom_site_fract_z
Ca1 0.000 0.000 0.000
Pu1 0.250 0.250 0.750
Rh1 0.125 0.125 0.375